Entry from Alexandria via LeMat-Bulk: crystalline Zr4Zn7Hg at its relaxed geometry (PBE).

Computed properties:
**Energy**: -45.4 eV per cell
**DOS at the Fermi energy**: 8.37 states/eV/cell
**Energy relative to the elements**: -1.9 eV per formula unit

```
Zr4Zn7Hg
1.0
-1.003 -3.837 -4.073
4.301 -3.360 -2.241
-3.915 -9.842 0.157
Zr Zn Hg
4 7 1
direct
0.627 0.529 0.209
0.373 0.471 0.791
0.806 0.831 0.619
0.194 0.169 0.381
0.785 0.503 0.870
0.215 0.497 0.130
0.052 0.045 0.711
0.948 0.955 0.289
0.598 0.677 0.459
0.500 0.000 0.000
0.402 0.323 0.541
0.000 0.000 0.000
```

Entry from Alexandria via LeMat-Bulk: crystalline Zr2ZnHg at its relaxed geometry (PBE).

Computed properties:
**Energy**: -19.0 eV per cell
**DOS at the Fermi energy**: 5.72 states/eV/cell
**Energy relative to the elements**: -0.3 eV per formula unit

```
Zr2ZnHg
1.0
-2.639 -3.517 3.350
3.188 -2.583 3.705
-0.743 5.240 -1.597
Hg Zn Zr
1 1 2
direct
0.500 0.500 0.000
0.750 0.250 0.500
0.000 0.000 0.000
0.250 0.750 0.500
```

Entry from Alexandria via LeMat-Bulk: crystalline ZrZnHg2 at its relaxed geometry (PBE).

Computed properties:
**Energy**: -10.8 eV per cell
**DOS at the Fermi energy**: 3.10 states/eV/cell
**Energy relative to the elements**: -0.4 eV per formula unit

```
ZrZnHg2
1.0
-4.168 -0.890 -0.007
0.880 -4.115 -0.790
0.165 -0.806 4.383
Zn Hg Zr
1 2 1
direct
0.500 0.000 0.500
0.000 0.000 0.000
0.500 0.500 0.000
0.000 0.500 0.500
```

Entry from Alexandria via LeMat-Bulk: crystalline Zr2Zn2Hg at its relaxed geometry (PBE).

Computed properties:
**Energy**: -42.4 eV per cell
**DOS at the Fermi energy**: 3.76 states/eV/cell
**Energy relative to the elements**: -1.2 eV per formula unit

```
Zr2Zn2Hg
1.0
6.847 0.000 0.000
0.000 6.847 0.000
0.000 0.000 4.087
Zn Hg Zr
4 2 4
direct
0.371 0.871 0.000
0.871 0.629 0.000
0.629 0.129 0.000
0.129 0.371 0.000
0.000 0.000 0.000
0.500 0.500 0.000
0.168 0.668 0.500
0.668 0.832 0.500
0.832 0.332 0.500
0.332 0.168 0.500
```